Record 1
Below is a geometry-optimized Y5HoTe4 structure, with properties calculated at the PBE level.

Values from the calculation:
* DFT total energy: -5.748 eV per atom

a b c (Å): 7.430 9.151 9.762
angles (deg): 90.00 90.00 90.00
Sites, in units of the cell vectors:
Y1 0.239 0.805 0.807
Y2 0.239 0.195 0.193
Y3 0.239 0.195 0.807
Y4 0.761 0.695 0.307
Y5 0.239 0.805 0.193
Y6 0.213 0.000 0.500
Y7 0.787 0.500 0.000
Y8 0.761 0.305 0.693
Y9 0.761 0.305 0.307
Y10 0.761 0.695 0.693
Te1 0.565 0.229 0.000
Te2 0.435 0.271 0.500
Te3 0.565 0.771 0.000
Te4 0.083 0.500 0.203
Te5 0.917 0.000 0.703
Te6 0.917 0.000 0.297
Te7 0.435 0.729 0.500
Te8 0.083 0.500 0.797
Ho1 0.865 0.000 0.000
Ho2 0.135 0.500 0.500

=====

Record 2
Below is a geometry-optimized Sm3Co3Ni structure, with properties calculated at the PBE level.

Values from the calculation:
* formation energy from the elements: -0.151 eV per atom

a b c (Å): 4.291 5.440 12.455
angles (deg): 90.00 90.00 113.23
Last column: magnetic moment on the atom in μB.
Sites, in units of the cell vectors:
Sm1 0.478 0.955 0.250  -0.09
Sm2 0.770 0.540 0.102  -0.09
Sm3 0.230 0.460 0.602  -0.09
Sm4 0.522 0.045 0.750  -0.09
Sm5 0.770 0.540 0.398  -0.09
Sm6 0.230 0.460 0.898  -0.09
Co1 0.827 0.655 0.750  0.73
Co2 0.173 0.345 0.250  0.73
Co3 0.062 0.123 0.415  0.92
Co4 0.938 0.877 0.915  0.92
Co5 0.062 0.123 0.085  0.92
Co6 0.938 0.877 0.585  0.92
Ni1 0.500 0.000 0.000  0.23
Ni2 0.500 0.000 0.500  0.23